TeWSe after structural relaxation, computed with PBE.

Lattice parameters (Å, degrees): 4.5286 4.5286 3.4467 90.00 90.00 120.00
Space group P3m1 (No. 156)
One atom of each set of equivalent atoms:
Te: 0.0000 0.0000 0.0000
W: 0.6667 0.3333 0.3925
Se: 0.3333 0.6667 0.4607

Values from the calculation:
ρ = 10.59 Mg/m³
E above lowest polymorph = 2.84 eV per formula unit
ΔE_f (raw) = 0.624 eV/atom

RbAg3Sb after structural relaxation, computed with PBE.

Lattice parameters (Å, degrees): 5.4674 5.4674 5.4674 90.00 90.00 90.00
Space group Pm-3m (No. 221)
One atom of each set of equivalent atoms:
Rb: 0.0000 0.0000 0.0000
Ag: 0.0000 0.5000 0.5000
Sb: 0.5000 0.5000 0.5000

Values from the calculation:
ρ = 5.39 Mg/m³
E above lowest polymorph = 0.83 eV per formula unit
ΔE_f (raw) = 0.106 eV/atom

La3NdTm2 after structural relaxation, computed with PBE.

Lattice parameters (Å, degrees): 19.0893 6.5590 7.3267 90.00 112.52 90.00
Space group C2/c (No. 15)
One atom of each set of equivalent atoms:
La: 0.0000 0.2339 0.2500
La: 0.1806 0.0061 0.9312
Nd: 0.0000 0.2665 0.7500
Tm: 0.1458 0.5000 0.1458

Values from the calculation:
ρ = 7.05 Mg/m³
E above lowest polymorph = 0.00 eV per formula unit
formation enthalpy at 0 K = 0.13 eV/atom

Dy12HoSc6 after structural relaxation, computed with PBE.

Lattice parameters (Å, degrees): 10.4261 10.4261 10.4261 90.00 90.00 90.00
Space group Im-3 (No. 204)
One atom of each set of equivalent atoms:
Dy: 0.0000 0.1966 0.2667
Ho: 0.0000 0.0000 0.0000
Sc: 0.0000 0.3623 0.5000

Values from the calculation:
ρ = 6.99 Mg/m³
E above lowest polymorph = 0.00 eV per formula unit
formation enthalpy at 0 K = 0.24 eV/atom

CdAuI after structural relaxation, computed with PBE.

Lattice parameters (Å, degrees): 5.7263 5.7278 11.6841 90.00 90.12 90.00
Space group C2 (No. 5)
One atom of each set of equivalent atoms:
Cd: 0.0016 0.0000 0.1800
Au: 0.2500 0.2504 0.0036
I: 0.2488 0.2487 0.6497

Values from the calculation:
ρ = 7.56 Mg/m³
E above lowest polymorph = 0.02 eV per formula unit
ΔE_f (raw) = -0.222 eV/atom

MgTl after structural relaxation, computed with PBE.

Lattice parameters (Å, degrees): 3.3826 3.3826 9.2334 90.00 90.00 90.00
Space group P4/nmm (No. 129, origin choice 2)
One atom of each set of equivalent atoms:
Mg: 0.2500 0.2500 0.1129
Tl: 0.2500 0.2500 0.6461

Values from the calculation:
ρ = 7.19 Mg/m³
formation enthalpy at 0 K = 0.01 eV/atom

ZnGaMoIr after structural relaxation, computed with PBE.

Lattice parameters (Å, degrees): 9.8518 2.8159 4.9142 90.00 118.55 90.00
Space group Cm (No. 8)
One atom of each set of equivalent atoms:
Zn: 0.0000 0.0000 0.0000
Ga: 0.0135 0.5000 0.5079
Mo: 0.2595 0.5000 0.4094
Ir: 0.2514 0.0000 0.9106

Values from the calculation:
ρ = 11.74 Mg/m³
E above lowest polymorph = 0.16 eV per formula unit
formation enthalpy at 0 K = -0.08 eV/atom

CdHgSe2 after structural relaxation, computed with PBE.

Lattice parameters (Å, degrees): 5.7129 5.7129 11.8274 90.00 90.00 90.00
Space group I4_1/amd (No. 141, origin choice 2)
One atom of each set of equivalent atoms:
Cd: 0.0000 0.2500 0.3750
Hg: 0.0000 0.2500 0.8750
Se: 0.0000 0.2500 0.1342

Values from the calculation:
ρ = 8.10 Mg/m³
E above lowest polymorph = 0.61 eV per formula unit
ΔE_f (raw) = -0.266 eV/atom